# CrCo2Ru, PBEsol geometry, DFT meta-GGA SCAN
data_CrCo2Ru
_chemical_formula_sum 'Cr2 Co4 Ru2'
_symmetry_space_group_name_H-M 'I 4/m m m'
_symmetry_Int_Tables_number 139
_symmetry_space_group_name_Hall '-I 4 2'
_cell_length_a 3.502
_cell_length_b 3.502
_cell_length_c 7.198
_cell_angle_alpha 90.00
_cell_angle_beta 90.00
_cell_angle_gamma 90.00
loop_
_atom_site_label
_atom_site_type_symbol
_atom_site_fract_x
_atom_site_fract_y
_atom_site_fract_z
Cr1 Cr 0.000 0.000 0.000
Co1 Co 0.000 0.500 0.250
Ru1 Ru 0.000 0.000 0.500
# Raw total energy in eV/f.u.: -87.19
# ΔE to the lowest computed polymorph in kcal/mol of atoms: 1.52
# Spin magnetization in μB/f.u.: 1.82